No. 1
Below is an optimized crystal structure of CrTcOs2, with properties calculated at the PBE-GGA level.

The structure in POSCAR format:
```
CrTcOs2
1.0
-1.5377 1.0309 -1.9730
1.4359 -2.5203 -2.4359
-3.9557 -3.4773 1.2660
Tc Cr Os
1 1 2
Direct
0.5000 0.5000 0.2500
0.5000 0.5000 0.7500
0.0000 0.0000 0.5104
0.0000 0.0000 0.9896
```

## Properties
symmetry	Pmmm (47)
DOS(E_F)	4.83	states/eV/f.u.
energy relative to the elements	87.7	meV per atom
total energy	-10.52	eV/atom
total moment	0.37	μB per formula unit
relative energy among the computed polymorphs	0.06	eV/f.u.

***

No. 2
Below is an optimized crystal structure of CrTcOs2, with properties calculated at the PBE-GGA level.

The structure in POSCAR format:
```
CrTcOs2
1.0
2.6586 -0.0001 0.0000
-1.1471 2.3983 0.0000
0.0000 0.0000 8.8412
Cr Os Tc
1 2 1
Direct
0.5000 0.5000 0.7487
0.5000 0.5000 0.2526
0.0000 0.0000 0.9862
0.0000 0.0000 0.5125
```

## Properties
symmetry	Cmm2 (35)
DOS(E_F)	5.57	states/eV/f.u.
energy relative to the elements	438.3	meV per atom
total energy	-10.17	eV/atom
total moment	0.00	μB per formula unit
relative energy among the computed polymorphs	1.46	eV/f.u.

***

No. 3
Below is an optimized crystal structure of Cr2TcOs2, with properties calculated at the PBE-GGA level.

The structure in POSCAR format:
```
Cr2TcOs2
1.0
7.1614 0.0000 0.0000
0.0000 7.1614 0.0000
0.0000 0.0000 2.7187
Os Cr Tc
4 4 2
Direct
0.3680 0.8680 0.0000
0.6320 0.1320 0.0000
0.1320 0.3680 0.0000
0.8680 0.6320 0.0000
0.8337 0.3337 0.5000
0.3337 0.1663 0.5000
0.1663 0.6663 0.5000
0.6663 0.8337 0.5000
0.5000 0.5000 0.0000
0.0000 0.0000 0.0000
```

## Properties
symmetry	P4/mbm (127)
DOS(E_F)	4.63	states/eV/f.u.
energy relative to the elements	251.0	meV per atom
total energy	-10.16	eV/atom
total moment	0.00	μB per formula unit

***

No. 4
Below is an optimized crystal structure of Cr2TcOs, with properties calculated at the PBE-GGA level.

The structure in POSCAR format:
```
Cr2TcOs
1.0
4.9579 0.0018 0.0005
2.2830 4.4010 -0.0005
-3.1403 -2.9912 2.4026
Tc Cr Os
1 2 1
Direct
0.2390 0.7390 0.5000
0.7689 0.2689 0.5000
0.9812 0.9812 0.0000
0.5110 0.5110 0.0000
```

## Properties
symmetry	Imm2 (44)
DOS(E_F)	4.17	states/eV/f.u.
energy relative to the elements	81.9	meV per atom
total energy	-10.13	eV/atom
total moment	0.00	μB per formula unit

***

No. 5
Below is an optimized crystal structure of Cr2TcOs, with properties calculated at the PBE-GGA level.

The structure in POSCAR format:
```
Cr2TcOs
1.0
-0.1152 2.2097 3.9504
-2.0128 0.3215 4.0431
2.8449 -2.7357 2.5132
Cr Tc Os
2 1 1
Direct
0.4979 0.4979 0.5025
0.0021 0.0021 0.9975
0.2500 0.2500 0.2500
0.7500 0.7500 0.7500
```

## Properties
symmetry	C2/m (12)
DOS(E_F)	4.84	states/eV/f.u.
energy relative to the elements	180.7	meV per atom
total energy	-10.03	eV/atom
total moment	0.00	μB per formula unit

***

No. 6
Below is an optimized crystal structure of CrTc2Os, with properties calculated at the PBE-GGA level.

The structure in POSCAR format:
```
CrTc2Os
1.0
4.6698 -0.0109 0.0000
1.5432 4.4075 0.0000
-3.1065 -2.1983 2.7064
Tc Cr Os
2 1 1
Direct
0.2500 0.7500 0.5000
0.0000 0.0000 0.0000
0.5000 0.5000 0.0000
0.7500 0.2500 0.5000
```

## Properties
symmetry	I-4m2 (119)
DOS(E_F)	4.50	states/eV/f.u.
energy relative to the elements	108.5	meV per atom
total energy	-10.29	eV/atom
total moment	0.00	μB per formula unit
relative energy among the computed polymorphs	0.03	eV/f.u.

***

No. 7
Below is an optimized crystal structure of CrTcOs2, with properties calculated at the PBE-GGA level.

The structure in POSCAR format:
```
CrTcOs2
1.0
0.0000 3.0385 3.0385
3.0385 0.0000 3.0385
3.0385 3.0385 0.0000
Tc Cr Os
1 1 2
Direct
0.5000 0.5000 0.5000
0.0000 0.0000 0.0000
0.7500 0.7500 0.7500
0.2500 0.2500 0.2500
```

## Properties
symmetry	Fm-3m (225)
DOS(E_F)	6.12	states/eV/f.u.
energy relative to the elements	427.9	meV per atom
total energy	-10.18	eV/atom
total moment	0.11	μB per formula unit
relative energy among the computed polymorphs	1.42	eV/f.u.

***

No. 8
Below is an optimized crystal structure of CrTcOs2, with properties calculated at the PBE-GGA level.

The structure in POSCAR format:
```
CrTcOs2
1.0
-4.3454 -1.0609 -1.3844
-0.5784 -4.6465 -0.0096
1.6241 2.9528 3.2509
Tc Os Cr
1 2 1
Direct
0.5000 0.5000 0.0000
0.0000 0.0000 0.0000
0.2500 0.7500 0.5000
0.7500 0.2500 0.5000
```

## Properties
symmetry	I-4m2 (119)
DOS(E_F)	4.83	states/eV/f.u.
energy relative to the elements	97.4	meV per atom
total energy	-10.51	eV/atom
total moment	0.00	μB per formula unit
relative energy among the computed polymorphs	0.10	eV/f.u.

***

No. 9
Below is an optimized crystal structure of CrTcOs, with properties calculated at the PBE-GGA level.

The structure in POSCAR format:
```
CrTcOs
1.0
-0.1023 -3.7311 -1.9258
3.6860 1.8330 0.8328
0.0743 -1.2317 2.3825
Os Cr Tc
1 1 1
Direct
0.6667 0.3333 0.3333
0.0000 0.0000 0.8333
0.3333 0.6667 0.8333
```

## Properties
symmetry	P-6m2 (187)
DOS(E_F)	2.85	states/eV/f.u.
energy relative to the elements	108.8	meV per atom
total energy	-10.30	eV/atom
total moment	0.00	μB per formula unit
relative energy among the computed polymorphs	0.00	eV/f.u.

***

No. 10
Below is an optimized crystal structure of Cr2TcOs, with properties calculated at the PBE-GGA level.

The structure in POSCAR format:
```
Cr2TcOs
1.0
4.0094 0.0000 0.0000
0.0000 2.6730 0.0028
0.0000 1.3389 4.9251
Os Tc Cr
1 1 2
Direct
0.0000 0.4551 0.4844
0.5000 0.7941 0.7632
0.0000 0.0770 0.0141
0.5000 0.1739 0.2382
```

## Properties
symmetry	Pm (6)
DOS(E_F)	4.83	states/eV/f.u.
energy relative to the elements	115.0	meV per atom
total energy	-10.10	eV/atom
total moment	0.00	μB per formula unit

***

No. 11
Below is an optimized crystal structure of Cr2TcOs, with properties calculated at the PBE-GGA level.

The structure in POSCAR format:
```
Cr2TcOs
1.0
4.2219 0.0000 0.0000
2.1110 3.6563 0.0000
2.1110 1.2188 3.4472
Os Cr Tc
1 2 1
Direct
0.5000 0.5000 0.5000
0.0000 0.0000 0.0000
0.2500 0.2500 0.2500
0.7500 0.7500 0.7500
```

## Properties
symmetry	F-43m (216)
DOS(E_F)	5.04	states/eV/f.u.
energy relative to the elements	219.6	meV per atom
total energy	-9.99	eV/atom
total moment	0.00	μB per formula unit

***

No. 12
Below is an optimized crystal structure of CrTcOs2, with properties calculated at the PBE-GGA level.

The structure in POSCAR format:
```
CrTcOs2
1.0
-2.9013 0.4284 2.3881
-1.4033 -3.3331 -1.1069
2.3424 -5.3928 6.8081
Os Tc Cr
4 2 2
Direct
0.8750 0.8491 0.7500
0.3750 0.4009 0.7500
0.1509 0.6250 0.2500
0.5991 0.1250 0.2500
0.0000 0.0000 0.0000
0.7500 0.2500 0.5000
0.5000 0.5000 0.0000
0.2500 0.7500 0.5000
```

## Properties
symmetry	I-42d (122)
DOS(E_F)	5.39	states/eV/f.u.
energy relative to the elements	819.6	meV per atom
total energy	-9.79	eV/atom
total moment	0.00	μB per formula unit
relative energy among the computed polymorphs	2.98	eV/f.u.

***

No. 13
Below is an optimized crystal structure of Cr2TcOs, with properties calculated at the PBE-GGA level.

The structure in POSCAR format:
```
Cr2TcOs
1.0
-2.4223 -1.9599 -3.7790
2.0049 -4.0551 -1.8779
-1.8991 2.0135 4.0409
Tc Os Cr
1 1 2
Direct
0.2500 0.7500 0.5000
0.7500 0.2500 0.5000
0.4915 0.4915 0.0000
0.0085 0.0085 0.0000
```

## Properties
symmetry	Immm (71)
DOS(E_F)	4.86	states/eV/f.u.
energy relative to the elements	215.9	meV per atom
total energy	-9.99	eV/atom
total moment	0.00	μB per formula unit

***

No. 14
Below is an optimized crystal structure of CrTcOs2, with properties calculated at the PBE-GGA level.

The structure in POSCAR format:
```
CrTcOs2
1.0
4.4476 0.0000 0.0000
0.0000 4.4476 0.0000
0.0000 0.0000 2.8805
Tc Os Cr
1 2 1
Direct
0.5000 0.0000 0.5000
0.5000 0.5000 0.0000
0.0000 0.0000 0.0000
0.0000 0.5000 0.5000
```

## Properties
symmetry	P4/mmm (123)
DOS(E_F)	5.94	states/eV/f.u.
energy relative to the elements	387.6	meV per atom
total energy	-10.22	eV/atom
total moment	1.89	μB per formula unit
relative energy among the computed polymorphs	1.26	eV/f.u.

***

No. 15
Below is an optimized crystal structure of Cr2TcOs, with properties calculated at the PBE-GGA level.

The structure in POSCAR format:
```
Cr2TcOs
1.0
2.6808 0.0000 0.0000
0.0000 3.6774 0.0000
0.0000 0.0000 5.3741
Os Cr Tc
1 2 1
Direct
0.5000 0.5000 0.2500
0.0000 0.0000 0.4981
0.0000 0.0000 0.0019
0.5000 0.5000 0.7500
```

## Properties
symmetry	Pmmm (47)
DOS(E_F)	3.69	states/eV/f.u.
energy relative to the elements	145.2	meV per atom
total energy	-10.07	eV/atom
total moment	0.00	μB per formula unit

***

No. 16
Below is an optimized crystal structure of Cr4TcOs, with properties calculated at the PBE-GGA level.

The structure in POSCAR format:
```
Cr4TcOs
1.0
-4.1117 -2.2176 0.7572
-0.9387 -4.0695 -2.2261
-0.0861 -4.0607 2.4290
Os Cr Tc
1 4 1
Direct
0.2500 0.2500 0.2500
0.6254 0.6254 0.6254
0.6254 0.1237 0.6254
0.6254 0.6254 0.1237
0.1237 0.6254 0.6254
0.0000 0.0000 0.0000
```

## Properties
symmetry	F-43m (216)
DOS(E_F)	7.23	states/eV/f.u.
energy relative to the elements	12.6	meV per atom
total energy	-10.00	eV/atom
total moment	0.00	μB per formula unit

***

No. 17
Below is an optimized crystal structure of Cr2TcOs, with properties calculated at the PBE-GGA level.

The structure in POSCAR format:
```
Cr2TcOs
1.0
-0.4093 3.2907 2.4266
-2.2591 0.6063 -1.2032
-3.1167 -2.5591 2.9446
Cr Os Tc
2 1 1
Direct
0.0000 0.9239 0.0091
0.0000 0.5761 0.4909
0.5000 0.2500 0.2500
0.5000 0.7500 0.7500
```

## Properties
symmetry	P2/m (10)
DOS(E_F)	4.84	states/eV/f.u.
energy relative to the elements	198.9	meV per atom
total energy	-10.01	eV/atom
total moment	0.00	μB per formula unit

***

No. 18
Below is an optimized crystal structure of CrTc2Os, with properties calculated at the PBE-GGA level.

The structure in POSCAR format:
```
CrTc2Os
1.0
2.7129 0.0000 0.0000
0.0000 2.7129 0.0000
0.0000 0.0000 7.5501
Tc Cr Os
2 1 1
Direct
0.0000 0.0000 0.9975
0.5000 0.5000 0.2631
0.0000 0.0000 0.5042
0.5000 0.5000 0.7351
```

## Properties
symmetry	P4mm (99)
DOS(E_F)	3.13	states/eV/f.u.
energy relative to the elements	99.9	meV per atom
total energy	-10.30	eV/atom
total moment	0.00	μB per formula unit
relative energy among the computed polymorphs	0.00	eV/f.u.

***

No. 19
Below is an optimized crystal structure of CrTcOs2, with properties calculated at the PBE-GGA level.

The structure in POSCAR format:
```
CrTcOs2
1.0
-2.0948 0.8814 3.4338
2.0127 -1.0326 1.4929
3.1718 3.9557 0.9196
Os Tc Cr
2 1 1
Direct
0.0000 0.9482 0.9798
0.5000 0.3064 0.2615
0.0000 0.6826 0.5094
0.5000 0.5628 0.7493
```

## Properties
symmetry	Amm2 (38)
DOS(E_F)	2.98	states/eV/f.u.
energy relative to the elements	104.5	meV per atom
total energy	-10.51	eV/atom
total moment	0.00	μB per formula unit
relative energy among the computed polymorphs	0.12	eV/f.u.

***

No. 20
Below is an optimized crystal structure of Cr2TcOs, with properties calculated at the PBE-GGA level.

The structure in POSCAR format:
```
Cr2TcOs
1.0
4.6249 0.0084 0.0000
1.5931 4.3419 0.0000
-3.1090 -2.1752 2.6444
Cr Os Tc
2 1 1
Direct
0.2500 0.7500 0.5000
0.0000 0.0000 0.0000
0.5000 0.5000 0.0000
0.7500 0.2500 0.5000
```

## Properties
symmetry	I-4m2 (119)
DOS(E_F)	5.43	states/eV/f.u.
energy relative to the elements	153.4	meV per atom
total energy	-10.06	eV/atom
total moment	0.00	μB per formula unit